[1]
The following is a DFT calculation (PBE) of AcPrNdEu after structural relaxation.

The structure in CIF format:
```
data_AcPrNdEu
_chemical_formula_sum 'Ac4 Pr4 Nd4 Eu4'
_space_group_name_H-M_alt 'F -4 3 m'
_space_group_IT_number 216
_space_group_name_Hall 'F -4 2 3'
_cell_length_a 8.5737
_cell_length_b 8.5737
_cell_length_c 8.5737
_cell_angle_alpha 90.00
_cell_angle_beta 90.00
_cell_angle_gamma 90.00
loop_
_atom_site_label
_atom_site_type_symbol
_atom_site_fract_x
_atom_site_fract_y
_atom_site_fract_z
Ac1 Ac 0.0000 0.0000 0.0000
Pr1 Pr 0.2500 0.2500 0.2500
Nd1 Nd 0.2500 0.2500 0.7500
Eu1 Eu 0.0000 0.0000 0.5000
```

Output
The calculation puts the formation energy at 0.136 eV per atom. For the final energy, the calculation gives -0.215 Ha/atom. For the density of states at the Fermi level, the calculation gives 1.847 states/eV per atom. For the total moment, the calculation gives 2.044 μB/atom. For the volume, the calculation gives 630.2 Å³/cell.


[2]
The following is a DFT calculation (PBE) of Pu2SeS2 after structural relaxation.

The structure in CIF format:
```
data_Pu2SeS2
_chemical_formula_sum 'Pu4 Se2 S4'
_space_group_name_H-M_alt 'P 63/m m c'
_space_group_IT_number 194
_space_group_name_Hall '-P 6c 2c'
_cell_length_a 4.4434
_cell_length_b 4.4434
_cell_length_c 14.5354
_cell_angle_alpha 90.00
_cell_angle_beta 90.00
_cell_angle_gamma 120.00
loop_
_atom_site_label
_atom_site_type_symbol
_atom_site_fract_x
_atom_site_fract_y
_atom_site_fract_z
Pu1 Pu 0.3333 0.6667 0.1222
Se1 Se 0.0000 0.0000 0.2500
S1 S 0.3333 0.6667 0.5696
```

Output
Its polymorph energy (0 for the lowest one) is 60.0 meV per atom. For the final energy, the calculation gives -0.355 Ha/atom. The uncorrected formation energy is -1569 meV/atom. For the density of states at the Fermi level, the calculation gives 2.567 states/eV per atom. For the total moment, the calculation gives 2.000 μB/atom. For the volume, the calculation gives 248.5 Å³/cell.